1.
Entry from Alexandria via LeMat-Bulk: PIr2Br after structural relaxation (PBEsol).

The structure in POSCAR format:
```
PIr2Br
1.0
-2.099 1.545 1.317
2.170 -1.272 1.715
4.589 6.852 -0.723
Br Ir P
1 2 1
Direct
0.500 0.000 0.000
0.000 0.000 0.709
0.000 0.000 0.291
0.500 0.000 0.500
```

Summary:
The formation energy (no corrections) comes out at 0.47 eV per atom. The value obtained for the energy above the most stable polymorph in this dataset is 78 meV per atom. Its density of states at the Fermi level is 0.71 states/eV per atom. For the total energy, the calculation gives -6.36 eV per atom.


2.
Entry from Alexandria via LeMat-Bulk: PIrBr4 after structural relaxation (PBEsol).

The structure in POSCAR format:
```
PIrBr4
1.0
-0.848 2.559 -5.091
3.456 -1.215 -4.446
-2.005 -3.049 -4.458
Br Ir P
4 1 1
Direct
0.376 0.376 0.376
0.376 0.376 0.873
0.873 0.376 0.376
0.376 0.873 0.376
0.750 0.750 0.750
0.000 0.000 0.000
```

Summary:
The formation energy (no corrections) comes out at 1.78 eV per atom. Its density of states at the Fermi level is 1.75 states/eV per atom. For the total energy, the calculation gives -2.07 eV per atom.


3.
Entry from Alexandria via LeMat-Bulk: PIr2Br after structural relaxation (PBEsol).

The structure in POSCAR format:
```
PIr2Br
1.0
-0.976 2.158 3.685
-3.449 -1.225 2.408
0.615 -1.918 3.890
Br Ir P
1 2 1
Direct
0.000 0.000 0.000
0.250 0.250 0.250
0.750 0.750 0.750
0.500 0.500 0.500
```

Summary:
The formation energy (no corrections) comes out at 0.79 eV per atom. The value obtained for the energy above the most stable polymorph in this dataset is 402 meV per atom. Its density of states at the Fermi level is 1.31 states/eV per atom. For the total energy, the calculation gives -6.04 eV per atom.


4.
Entry from Alexandria via LeMat-Bulk: IrPbBr2 after structural relaxation (PBEsol).

The structure in POSCAR format:
```
IrPbBr2
1.0
3.473 0.000 0.000
0.000 3.473 0.000
0.000 0.000 7.770
Pb Ir Br
1 1 2
Direct
0.500 0.500 0.730
0.000 0.000 0.445
0.000 0.000 0.982
0.500 0.500 0.343
```

Summary:
The formation energy (no corrections) comes out at 0.34 eV per atom. Its density of states at the Fermi level is 0.48 states/eV per atom. For the total energy, the calculation gives -4.05 eV per atom.


5.
Entry from Alexandria via LeMat-Bulk: IrPbSe2Br after structural relaxation (PBEsol).

The structure in POSCAR format:
```
IrPbSe2Br
1.0
-1.506 4.314 2.691
-3.503 -2.915 2.712
3.731 -1.020 3.723
Pb Ir Se Br
1 1 2 1
Direct
0.000 0.000 0.000
0.500 0.500 0.500
0.000 0.500 0.000
0.500 0.000 0.000
0.000 0.000 0.500
```

Summary:
The formation energy (no corrections) comes out at 1.52 eV per atom. Its density of states at the Fermi level is 1.71 states/eV per atom. For the total energy, the calculation gives -3.16 eV per atom.


6.
Entry from Alexandria via LeMat-Bulk: RbIr2PdBr after structural relaxation (PBEsol).

The structure in POSCAR format:
```
RbIr2PdBr
1.0
4.818 0.000 0.000
0.000 4.818 0.000
0.000 0.000 5.629
Ir Rb Pd Br
2 1 1 1
Direct
0.000 0.500 0.000
0.500 0.000 0.000
0.000 0.000 0.000
0.500 0.500 0.500
0.000 0.000 0.500
```

Summary:
The formation energy (no corrections) comes out at 2.86 eV per atom. Its density of states at the Fermi level is 1.65 states/eV per atom. For the total energy, the calculation gives -2.84 eV per atom.


7.
Entry from Alexandria via LeMat-Bulk: IrPtBr2 after structural relaxation (PBEsol).

The structure in POSCAR format:
```
IrPtBr2
1.0
3.659 0.000 0.000
0.000 3.659 0.000
-1.830 -1.830 5.493
Ir Br Pt
1 2 1
Direct
0.500 0.500 0.000
0.000 0.000 0.000
0.750 0.250 0.500
0.250 0.750 0.500
```

Summary:
The formation energy (no corrections) comes out at 1.05 eV per atom. The value obtained for the energy above the most stable polymorph in this dataset is 470 meV per atom. Its density of states at the Fermi level is 1.31 states/eV per atom. For the total energy, the calculation gives -4.08 eV per atom.


8.
Entry from Alexandria via LeMat-Bulk: IrPtBr2 after structural relaxation (PBEsol).

The structure in POSCAR format:
```
IrPtBr2
1.0
3.126 0.000 0.000
0.000 3.126 0.000
0.000 0.000 7.979
Ir Br Pt
1 2 1
Direct
0.000 0.000 0.526
0.000 0.000 0.939
0.500 0.500 0.319
0.500 0.500 0.715
```

Summary:
The formation energy (no corrections) comes out at 0.58 eV per atom. The value obtained for the energy above the most stable polymorph in this dataset is 0 meV per atom. Its density of states at the Fermi level is 1.12 states/eV per atom. For the total energy, the calculation gives -4.55 eV per atom.


9.
Entry from Alexandria via LeMat-Bulk: IrPtBr2 after structural relaxation (PBEsol).

The structure in POSCAR format:
```
IrPtBr2
1.0
2.942 0.000 0.000
-1.471 2.771 0.000
0.000 0.000 8.734
Ir Br Pt
1 2 1
Direct
0.500 0.000 0.500
0.000 0.000 0.741
0.000 0.000 0.259
0.500 0.000 0.000
```

Summary:
The formation energy (no corrections) comes out at 0.82 eV per atom. The value obtained for the energy above the most stable polymorph in this dataset is 241 meV per atom. Its density of states at the Fermi level is 0.77 states/eV per atom. For the total energy, the calculation gives -4.31 eV per atom.


10.
Entry from Alexandria via LeMat-Bulk: IrPtBr2 after structural relaxation (PBEsol).

The structure in POSCAR format:
```
IrPtBr2
1.0
3.142 0.000 0.025
0.000 4.362 0.000
-0.373 0.000 5.167
Ir Br Pt
1 2 1
Direct
0.500 0.500 0.500
0.734 0.000 0.746
0.266 0.000 0.254
0.000 0.500 0.000
```

Summary:
The formation energy (no corrections) comes out at 0.84 eV per atom. The value obtained for the energy above the most stable polymorph in this dataset is 263 meV per atom. Its density of states at the Fermi level is 0.91 states/eV per atom. For the total energy, the calculation gives -4.29 eV per atom.


11.
Entry from Alexandria via LeMat-Bulk: TeIr2PtBr after structural relaxation (PBEsol).

The structure in POSCAR format:
```
TeIr2PtBr
1.0
-2.726 2.191 -2.810
2.801 -0.870 -3.395
-2.626 -4.551 -1.000
Ir Te Br Pt
2 1 1 1
Direct
0.000 0.500 0.000
0.500 0.000 0.000
0.000 0.000 0.500
0.000 0.000 0.000
0.500 0.500 0.500
```

Summary:
The formation energy (no corrections) comes out at 2.03 eV per atom. Its density of states at the Fermi level is 1.80 states/eV per atom. For the total energy, the calculation gives -4.37 eV per atom.


12.
Entry from Alexandria via LeMat-Bulk: RbIr2Br after structural relaxation (PBEsol).

The structure in POSCAR format:
```
RbIr2Br
1.0
-0.058 -4.911 1.540
1.999 -1.441 -4.519
6.484 4.037 4.513
Ir Br Rb
4 2 2
Direct
0.625 0.375 0.750
0.125 0.375 0.750
0.625 0.875 0.250
0.625 0.375 0.250
0.500 0.500 0.000
0.750 0.250 0.500
0.000 0.000 0.000
0.250 0.750 0.500
```

Summary:
The formation energy (no corrections) comes out at 0.82 eV per atom. Its density of states at the Fermi level is 0.78 states/eV per atom. For the total energy, the calculation gives -4.82 eV per atom.


13.
Entry from Alexandria via LeMat-Bulk: ReIr2Br after structural relaxation (PBEsol).

The structure in POSCAR format:
```
ReIr2Br
1.0
2.771 0.000 0.000
0.000 3.554 0.000
0.000 0.000 6.962
Re Ir Br
1 2 1
Direct
0.500 0.500 0.500
0.000 0.000 0.308
0.000 0.000 0.692
0.000 0.500 0.000
```

Summary:
The formation energy (no corrections) comes out at 0.52 eV per atom. The value obtained for the energy above the most stable polymorph in this dataset is 81 meV per atom. Its density of states at the Fermi level is 0.89 states/eV per atom. For the total energy, the calculation gives -8.20 eV per atom.


14.
Entry from Alexandria via LeMat-Bulk: ReIr2Br after structural relaxation (PBEsol).

The structure in POSCAR format:
```
ReIr2Br
1.0
2.738 0.000 0.000
0.000 4.752 0.000
0.000 0.000 4.752
Re Ir Br
1 2 1
Direct
0.500 0.500 0.500
0.000 0.000 0.500
0.000 0.500 0.000
0.500 0.000 0.000
```

Summary:
The formation energy (no corrections) comes out at 1.05 eV per atom. The value obtained for the energy above the most stable polymorph in this dataset is 616 meV per atom. Its density of states at the Fermi level is 0.90 states/eV per atom. For the total energy, the calculation gives -7.66 eV per atom.


15.
Entry from Alexandria via LeMat-Bulk: ReIr2Br after structural relaxation (PBEsol).

The structure in POSCAR format:
```
ReIr2Br
1.0
-1.543 0.687 2.181
0.376 -1.281 2.413
6.306 6.636 4.117
Re Ir Br
1 2 1
Direct
0.500 0.500 0.500
0.238 0.238 0.286
0.762 0.762 0.714
0.000 0.000 0.000
```

Summary:
The formation energy (no corrections) comes out at 0.43 eV per atom. The value obtained for the energy above the most stable polymorph in this dataset is 0 meV per atom. Its density of states at the Fermi level is 0.75 states/eV per atom. For the total energy, the calculation gives -8.28 eV per atom.